Run a
CsHfCu2As PBE optimized geometry; symmetry = P4/mmm, No. 123; total magnetization = 0.0 μB per formula unit; V = 125.6 Å³ per cell; Fermi-level density of states = 0.33 states/eV/atom; density = 6.79 g/cm3
1.0
-4.9385 -0.1221 -0.2601
0.2967 -2.6123 -4.4069
-0.0275 -4.2561 2.5211
Cs As Hf Cu
1 1 1 2
Direct
0.5000 0.5000 0.5000
0.0000 0.0000 0.0000
0.0000 0.5000 0.0000
0.0000 0.0000 0.5000
0.5000 0.0000 0.0000


Run b
CsHfCu2As PBE optimized geometry; symmetry = P4/mmm, No. 123; total magnetization = 0.0 μB per formula unit; V = 147.8 Å³ per cell; Fermi-level density of states = 0.40 states/eV/atom; density = 5.77 g/cm3
1.0
-1.0502 -5.2361 -0.4952
0.5869 0.3852 -5.3171
5.0082 -1.0496 0.4768
Cs As Hf Cu
1 1 1 2
Direct
0.5000 0.5000 0.5000
0.0000 0.0000 0.5000
0.0000 0.0000 0.0000
0.0000 0.5000 0.0000
0.5000 0.0000 0.0000


Which one sits at the bottom of the stability order? run a does.